CaReP2: PBEsol geometry, meta-GGA SCAN.

The structure in POSCAR format:
```
CaReP2
1.0
3.151 0.041 0.049
-0.641 4.480 -0.017
-0.641 -0.767 4.414
Re P Ca
1 2 1
direct
0.500 0.500 0.500 Re
0.000 0.000 0.500 P
0.000 0.500 0.000 P
0.500 0.000 0.000 Ca
```

Values from the calculation:
M_tot (Bohr magnetons per cell): 0.0
Density of states at the Fermi level (states/eV per cell): 2.820
ΔH_f (0 K) (meV/atom): 215
SG: C2/m, No. 12
ΔE to the lowest computed polymorph (meV per atom): 661.3
Raw total energy (eV/atom): -25.175
Crystal system: monoclinic


CaRe2P: PBEsol geometry, meta-GGA SCAN.

The structure in POSCAR format:
```
CaRe2P
1.0
-2.079 2.007 0.713
-2.875 -0.770 -0.002
-1.051 -1.847 8.347
Ca Re P
1 2 1
direct
0.500 0.500 0.500 Ca
0.733 0.733 0.800 Re
0.267 0.267 0.200 Re
0.000 0.000 0.000 P
```

Values from the calculation:
M_tot (Bohr magnetons per cell): 0.0
Density of states at the Fermi level (states/eV per cell): 2.107
ΔH_f (0 K) (meV/atom): 448
SG: R-3m, No. 166
Raw total energy (eV/atom): -40.116
Crystal system: trigonal


CaRe2P: PBEsol geometry, meta-GGA SCAN.

The structure in POSCAR format:
```
CaRe2P
1.0
-3.021 0.520 -2.093
-0.888 -3.583 0.392
-0.574 2.587 4.762
Re Ca P
2 1 1
direct
0.250 0.750 0.500 Re
0.750 0.250 0.500 Re
0.500 0.500 0.000 Ca
0.000 0.000 0.000 P
```

Values from the calculation:
M_tot (Bohr magnetons per cell): 0.0
Density of states at the Fermi level (states/eV per cell): 2.463
ΔH_f (0 K) (meV/atom): 618
SG: I4/mmm, No. 139
Raw total energy (eV/atom): -39.946
Crystal system: tetragonal


CaReP2: PBEsol geometry, meta-GGA SCAN.

The structure in POSCAR format:
```
CaReP2
1.0
-0.604 1.382 -2.734
1.605 -2.393 -1.564
-6.209 -2.993 1.642
Re P Ca
1 2 1
direct
0.453 0.453 0.906 Re
0.028 0.028 0.057 P
0.821 0.321 0.642 P
0.197 0.697 0.395 Ca
```

Values from the calculation:
M_tot (Bohr magnetons per cell): 0.0
Density of states at the Fermi level (states/eV per cell): 2.060
ΔH_f (0 K) (meV/atom): -447
SG: Imm2, No. 44
ΔE to the lowest computed polymorph (meV per atom): 0.0
Raw total energy (eV/atom): -25.836
Crystal system: orthorhombic


CaRe2P: PBEsol geometry, meta-GGA SCAN.

The structure in POSCAR format:
```
CaRe2P
1.0
-1.324 2.498 -0.209
-3.478 -2.041 -2.354
0.105 -1.099 5.430
Re P Ca
2 1 1
direct
0.295 0.295 0.590 Re
0.705 0.705 0.410 Re
0.000 0.500 0.000 P
0.500 0.000 0.000 Ca
```

Values from the calculation:
M_tot (Bohr magnetons per cell): 0.0
Density of states at the Fermi level (states/eV per cell): 2.401
ΔH_f (0 K) (meV/atom): 211
SG: Immm, No. 71
Raw total energy (eV/atom): -40.353
Crystal system: orthorhombic


CaReP: PBEsol geometry, meta-GGA SCAN.

The structure in POSCAR format:
```
CaReP
1.0
4.273 0.000 0.000
2.136 3.700 0.000
2.136 1.233 3.489
Ca P Re
1 1 1
direct
0.000 0.000 0.000 Ca
0.500 0.500 0.500 P
0.750 0.750 0.750 Re
```

Values from the calculation:
M_tot (Bohr magnetons per cell): 0.3
Density of states at the Fermi level (states/eV per cell): 1.647
ΔH_f (0 K) (meV/atom): 701
SG: F-43m, No. 216
Raw total energy (eV/atom): -29.686
Crystal system: cubic


Ca6P19Rh30: PBEsol geometry, meta-GGA SCAN.

The structure in POSCAR format:
```
Ca6P19Rh30
1.0
3.756 0.000 0.000
0.000 15.438 0.000
0.000 -7.719 13.370
Ca Rh P
6 30 19
direct
0.751 0.570 0.939 Ca
0.252 0.273 0.036 Ca
0.751 0.370 0.430 Ca
0.252 0.764 0.727 Ca
0.751 0.061 0.630 Ca
0.252 0.964 0.236 Ca
0.754 0.443 0.681 Rh
0.750 0.541 0.357 Rh
0.254 0.518 0.208 Rh
0.751 0.741 0.869 Rh
0.249 0.895 0.609 Rh
0.252 0.592 0.798 Rh
0.750 0.928 0.749 Rh
0.252 0.202 0.795 Rh
0.254 0.690 0.482 Rh
0.254 0.083 0.488 Rh
0.254 0.792 0.310 Rh
0.750 0.643 0.185 Rh
0.750 0.815 0.459 Rh
0.750 0.251 0.178 Rh
0.254 0.406 0.917 Rh
0.252 0.205 0.408 Rh
0.250 0.890 0.985 Rh
0.750 0.822 0.072 Rh
0.254 0.512 0.594 Rh
0.754 0.319 0.762 Rh
0.754 0.238 0.557 Rh
0.250 0.095 0.110 Rh
0.755 0.942 0.381 Rh
0.751 0.128 0.259 Rh
0.250 0.015 0.905 Rh
0.751 0.131 0.872 Rh
0.249 0.714 0.105 Rh
0.249 0.391 0.286 Rh
0.755 0.438 0.058 Rh
0.755 0.619 0.562 Rh
0.253 0.349 0.565 P
0.755 0.784 0.591 P
0.253 0.216 0.651 P
0.249 0.550 0.076 P
0.249 0.526 0.450 P
0.251 0.038 0.765 P
0.249 0.924 0.474 P
0.753 0.099 0.394 P
0.755 0.409 0.193 P
0.751 0.984 0.102 P
0.753 0.606 0.704 P
0.251 0.235 0.273 P
0.755 0.807 0.216 P
0.751 0.118 0.016 P
0.251 0.727 0.962 P
0.751 0.898 0.882 P
0.253 0.435 0.784 P
0.753 0.296 0.901 P
0.503 0.667 0.333 P
```

Values from the calculation:
M_tot (Bohr magnetons per cell): 0.0
Density of states at the Fermi level (states/eV per cell): 24.110
ΔH_f (0 K) (meV/atom): -983
SG: P-3, No. 147
Raw total energy (eV/atom): -24.050
Crystal system: trigonal


CaPRh2: PBEsol geometry, meta-GGA SCAN.

The structure in POSCAR format:
```
CaPRh2
1.0
-0.772 -2.637 -0.976
-0.926 -0.718 2.670
-6.637 2.541 -1.618
P Ca Rh
1 1 2
direct
0.500 0.500 0.500 P
0.500 0.500 0.000 Ca
0.000 0.000 0.313 Rh
0.000 0.000 0.687 Rh
```

Values from the calculation:
M_tot (Bohr magnetons per cell): 0.0
Density of states at the Fermi level (states/eV per cell): 1.553
ΔH_f (0 K) (meV/atom): -468
SG: P4/mmm, No. 123
Raw total energy (eV/atom): -22.369
Crystal system: tetragonal